Record 1
This record from Alexandria via LeMat-Bulk describes a geometry-optimized LaMgW2 structure. The functional is PBE.

The space group is Cm (No. 8) and the conventional cell measures 9.031, 2.832 and 6.783 Å, with angles of 90.00, 93.52 and 90.00 degrees. The asymmetric unit holds La at (0.000, 0.000, 0.000), Mg at (0.242, 0.000, 0.676), W at (0.002, 0.500, 0.463) and W at (0.250, 0.500, 0.295).

The calculation puts the energy at -7.488 eV/atom.

Record 2
This record from Alexandria via LeMat-Bulk describes a geometry-optimized LaMgW2 structure. The functional is PBE.

The space group is P4mm (No. 99) and the conventional cell measures 3.295, 3.295 and 8.085 Å, with angles of 90.00, 90.00 and 90.00 degrees. The asymmetric unit holds La at (0.000, 0.000, 0.000), Mg at (0.500, 0.500, 0.340), W at (0.000, 0.000, 0.565) and W at (0.500, 0.500, 0.721).

The calculation puts the energy at -7.790 eV/atom.

Record 3
This record from Alexandria via LeMat-Bulk describes a geometry-optimized LaMgW2 structure. The functional is PBE.

The space group is Immm (No. 71) and the conventional cell measures 3.532, 4.664 and 9.814 Å, with angles of 90.00, 90.00 and 90.00 degrees. The asymmetric unit holds La at (0.000, 0.000, 0.000), Mg at (0.000, 0.000, 0.500) and W at (0.000, 0.500, 0.248).

The calculation puts the energy at -7.243 eV/atom.

Record 4
This record from Alexandria via LeMat-Bulk describes a geometry-optimized LaMg4W structure. The functional is PBE.

The space group is F-43m (No. 216) and the conventional cell measures 8.143, 8.143 and 8.143 Å, with angles of 90.00, 90.00 and 90.00 degrees. The asymmetric unit holds La at (0.000, 0.000, 0.000), Mg at (0.123, 0.123, 0.623) and W at (0.250, 0.250, 0.250).

The calculation puts the energy at -3.609 eV/atom.

Record 5
This record from Alexandria via LeMat-Bulk describes a geometry-optimized LaMgW2 structure. The functional is PBE.

The space group is F-43m (No. 216) and the conventional cell measures 6.859, 6.859 and 6.859 Å, with angles of 90.00, 90.00 and 90.00 degrees. The asymmetric unit holds La at (0.000, 0.000, 0.000), Mg at (0.250, 0.250, 0.250), W at (0.000, 0.000, 0.500) and W at (0.250, 0.250, 0.750).

The calculation puts the energy at -7.405 eV/atom.

Record 6
This record from Alexandria via LeMat-Bulk describes a geometry-optimized LaMgW2 structure. The functional is PBE.

The space group is Cmmm (No. 65) and the conventional cell measures 5.818, 9.950 and 2.787 Å, with angles of 90.00, 90.00 and 90.00 degrees. The asymmetric unit holds La at (0.000, 0.000, 0.000), Mg at (0.000, 0.500, 0.000) and W at (0.250, 0.250, 0.500).

The calculation puts the energy at -7.260 eV/atom.

Record 7
This record from Alexandria via LeMat-Bulk describes a geometry-optimized LaYMgW2 structure. The functional is PBE.

The space group is P4/mmm (No. 123) and the conventional cell measures 4.897, 4.897 and 5.294 Å, with angles of 90.00, 90.00 and 90.00 degrees. The asymmetric unit holds La at (0.000, 0.000, 0.000), Y at (0.500, 0.500, 0.000), Mg at (0.000, 0.000, 0.500) and W at (0.000, 0.500, 0.500).

The calculation puts the energy at -6.072 eV/atom.

Record 8
This record from Alexandria via LeMat-Bulk describes a geometry-optimized LaYMg3 structure. The functional is PBE.

The space group is Pm-3m (No. 221) and the conventional cell measures 5.606, 5.606 and 5.606 Å, with angles of 90.00, 90.00 and 90.00 degrees. The asymmetric unit holds La at (0.000, 0.000, 0.000), Y at (0.500, 0.500, 0.500) and Mg at (0.000, 0.000, 0.500).

The calculation puts the energy at -2.299 eV/atom.

Record 9
This record from Alexandria via LeMat-Bulk describes a geometry-optimized LaYMg structure. The functional is PBE.

The space group is R-3m (No. 166, hexagonal axes) and the conventional cell measures 5.5335, 5.5335 and 22.2744 Å, with angles of 90.00, 90.00 and 120.00 degrees. The asymmetric unit holds La at (0.0000, 0.0000, 0.1223), Y at (0.0000, 0.0000, 0.2918) and Mg at (0.0000, 0.0000, 0.4357).

The calculation puts the energy at -4.229 eV/atom.

Record 10
This record from Alexandria via LeMat-Bulk describes a geometry-optimized LaY3Mg structure. The functional is PBE.

The space group is C2/m (No. 12) and the conventional cell measures 13.200, 3.769 and 12.803 Å, with angles of 90.00, 93.27 and 90.00 degrees. The asymmetric unit holds La at (0.237, 0.000, 0.254), Y at (0.036, 0.000, 0.686), Y at (0.134, 0.500, 0.476), Y at (0.146, 0.000, 0.948) and Mg at (0.051, 0.500, 0.127).

The calculation puts the energy at -5.205 eV/atom.

Record 11
This record from Alexandria via LeMat-Bulk describes a geometry-optimized LaY3Mg6 structure. The functional is PBE.

The space group is P2_1/m (No. 11) and the conventional cell measures 9.328, 5.346 and 11.407 Å, with angles of 90.00, 106.45 and 90.00 degrees. The asymmetric unit holds La at (0.054, 0.250, 0.395), Y at (0.247, 0.250, 0.002), Y at (0.352, 0.750, 0.797), Y at (0.456, 0.250, 0.607), Mg at (0.052, 0.750, 0.905), Mg at (0.150, 0.250, 0.709), Mg at (0.150, 0.750, 0.196), Mg at (0.255, 0.750, 0.494), Mg at (0.348, 0.250, 0.296) and Mg at (0.447, 0.750, 0.098).

The calculation puts the energy at -3.475 eV/atom.

Record 12
This record from Alexandria via LeMat-Bulk describes a geometry-optimized LaY2Mg3 structure. The functional is PBE.

The space group is P4/mmm (No. 123) and the conventional cell measures 3.843, 3.843 and 11.638 Å, with angles of 90.00, 90.00 and 90.00 degrees. The asymmetric unit holds La at (0.000, 0.000, 0.000), Y at (0.000, 0.000, 0.339), Mg at (0.500, 0.500, 0.180) and Mg at (0.500, 0.500, 0.500).

The calculation puts the energy at -3.880 eV/atom.

Record 13
This record from Alexandria via LeMat-Bulk describes a geometry-optimized La2YMg structure. The functional is PBE.

The space group is I4/mmm (No. 139) and the conventional cell measures 5.349, 5.349 and 18.211 Å, with angles of 90.00, 90.00 and 90.00 degrees. The asymmetric unit holds La at (0.000, 0.000, 0.136), La at (0.000, 0.500, 0.000), Y at (0.000, 0.000, 0.359) and Mg at (0.000, 0.500, 0.250).

The calculation puts the energy at -4.524 eV/atom.

Record 14
This record from Alexandria via LeMat-Bulk describes a geometry-optimized La2YMg structure. The functional is PBE.

The space group is F-43m (No. 216) and the conventional cell measures 8.065, 8.065 and 8.065 Å, with angles of 90.00, 90.00 and 90.00 degrees. The asymmetric unit holds La at (0.000, 0.000, 0.000), La at (0.250, 0.250, 0.250), Y at (0.250, 0.250, 0.750) and Mg at (0.000, 0.000, 0.500).

The calculation puts the energy at -4.396 eV/atom.

Record 15
This record from Alexandria via LeMat-Bulk describes a geometry-optimized LaY2Mg9 structure. The functional is PBE.

The space group is R-3m (No. 166, hexagonal axes) and the conventional cell measures 6.0798, 6.0798 and 29.4374 Å, with angles of 90.00, 90.00 and 120.00 degrees. The asymmetric unit holds La at (0.0000, 0.0000, 0.0000), Y at (0.0000, 0.0000, 0.1444), Mg at (0.0000, 0.0000, 0.3342), Mg at (0.0000, 0.0000, 0.5000) and Mg at (0.0055, 0.5027, 0.9150).

The calculation puts the energy at -2.765 eV/atom.

Record 16
This record from Alexandria via LeMat-Bulk describes a geometry-optimized La7Y2Mg2 structure. The functional is PBE.

The space group is C2/m (No. 12) and the conventional cell measures 10.769, 11.786 and 6.278 Å, with angles of 90.00, 111.48 and 90.00 degrees. The asymmetric unit holds La at (0.000, 0.000, 0.000), La at (0.086, 0.500, 0.796), La at (0.176, 0.246, 0.169), Y at (0.198, 0.000, 0.588) and Mg at (0.000, 0.229, 0.500).

The calculation puts the energy at -4.520 eV/atom.

Record 17
This record from Alexandria via LeMat-Bulk describes a geometry-optimized La2YMg structure. The functional is PBE.

The space group is P4/mmm (No. 123) and the conventional cell measures 3.835, 3.835 and 9.057 Å, with angles of 90.00, 90.00 and 90.00 degrees. The asymmetric unit holds La at (0.000, 0.000, 0.230), Y at (0.500, 0.500, 0.500) and Mg at (0.500, 0.500, 0.000).

The calculation puts the energy at -4.504 eV/atom.

Record 18
This record from Alexandria via LeMat-Bulk describes a geometry-optimized La2YMg structure. The functional is PBE.

The space group is P4mm (No. 99) and the conventional cell measures 3.777, 3.777 and 9.135 Å, with angles of 90.00, 90.00 and 90.00 degrees. The asymmetric unit holds La at (0.000, 0.000, 0.000), La at (0.500, 0.500, 0.282), Y at (0.500, 0.500, 0.729) and Mg at (0.000, 0.000, 0.520).

The calculation puts the energy at -4.518 eV/atom.

Record 19
This record from Alexandria via LeMat-Bulk describes a geometry-optimized LaY2Mg5 structure. The functional is PBE.

The space group is I4/mmm (No. 139) and the conventional cell measures 5.335, 5.335 and 15.241 Å, with angles of 90.00, 90.00 and 90.00 degrees. The asymmetric unit holds La at (0.000, 0.000, 0.000), Y at (0.000, 0.000, 0.260), Mg at (0.000, 0.000, 0.500) and Mg at (0.000, 0.500, 0.124).

The calculation puts the energy at -3.335 eV/atom.

Record 20
This record from Alexandria via LeMat-Bulk describes a geometry-optimized La6YMg2 structure. The functional is PBE.

The space group is Fmmm (No. 69) and the conventional cell measures 5.781, 12.096 and 17.524 Å, with angles of 90.00, 90.00 and 90.00 degrees. The asymmetric unit holds La at (0.000, 0.153, 0.173), La at (0.000, 0.161, 0.500), Y at (0.000, 0.000, 0.000) and Mg at (0.000, 0.000, 0.341).

The calculation puts the energy at -4.357 eV/atom.

Record 21
This record from Alexandria via LeMat-Bulk describes a geometry-optimized La8YMg2 structure. The functional is PBE.

The space group is C2/m (No. 12) and the conventional cell measures 18.145, 5.259 and 8.394 Å, with angles of 90.00, 108.93 and 90.00 degrees. The asymmetric unit holds La at (0.050, 0.000, 0.234), La at (0.095, 0.500, 0.962), La at (0.140, 0.000, 0.694), La at (0.185, 0.500, 0.439), Y at (0.000, 0.500, 0.500) and Mg at (0.227, 0.000, 0.132).

The calculation puts the energy at -4.461 eV/atom.

Record 22
This record from Alexandria via LeMat-Bulk describes a geometry-optimized La2YMg structure. The functional is PBE.

The space group is Immm (No. 71) and the conventional cell measures 3.928, 5.552 and 12.097 Å, with angles of 90.00, 90.00 and 90.00 degrees. The asymmetric unit holds La at (0.000, 0.000, 0.223), Y at (0.000, 0.500, 0.000) and Mg at (0.000, 0.500, 0.500).

The calculation puts the energy at -4.476 eV/atom.

Record 23
This record from Alexandria via LeMat-Bulk describes a geometry-optimized La3Y2Mg2 structure. The functional is PBE.

The space group is Cmmm (No. 65) and the conventional cell measures 5.420, 23.780 and 3.529 Å, with angles of 90.00, 90.00 and 90.00 degrees. The asymmetric unit holds La at (0.000, 0.000, 0.000), La at (0.000, 0.148, 0.000), Y at (0.000, 0.288, 0.500) and Mg at (0.000, 0.430, 0.500).

The calculation puts the energy at -4.379 eV/atom.

Record 24
This record from Alexandria via LeMat-Bulk describes a geometry-optimized La2YMg structure. The functional is PBE.

The space group is Pmmm (No. 47) and the conventional cell measures 3.732, 4.864 and 7.262 Å, with angles of 90.00, 90.00 and 90.00 degrees. The asymmetric unit holds La at (0.000, 0.000, 0.242), Y at (0.500, 0.500, 0.500) and Mg at (0.500, 0.500, 0.000).

The calculation puts the energy at -4.480 eV/atom.

Record 25
This record from Alexandria via LeMat-Bulk describes a geometry-optimized La9YMg2 structure. The functional is PBE.

The space group is P4/mmm (No. 123) and the conventional cell measures 5.161, 5.161 and 15.474 Å, with angles of 90.00, 90.00 and 90.00 degrees. The asymmetric unit holds La at (0.000, 0.000, 0.000), La at (0.000, 0.000, 0.334), La at (0.000, 0.500, 0.170), La at (0.000, 0.500, 0.500), Y at (0.500, 0.500, 0.000) and Mg at (0.500, 0.500, 0.337).

The calculation puts the energy at -4.512 eV/atom.

Record 26
This record from Alexandria via LeMat-Bulk describes a geometry-optimized La2YMg9 structure. The functional is PBE.

The space group is R-3m (No. 166, hexagonal axes) and the conventional cell measures 6.1058, 6.1058 and 29.7986 Å, with angles of 90.00, 90.00 and 120.00 degrees. The asymmetric unit holds La at (0.0000, 0.0000, 0.1421), Y at (0.0000, 0.0000, 0.0000), Mg at (0.0000, 0.0000, 0.3339), Mg at (0.0000, 0.0000, 0.5000) and Mg at (0.0028, 0.5014, 0.9180).

The calculation puts the energy at -2.617 eV/atom.